(1)
BiPd19, relaxed, DFT PBE; mass density = 8.94 Mg/m³; energy above the lowest structure with this stoichiometry = 0.274 kcal/mol of atoms
1.0
5.6239 0.0000 0.0000
0.0000 3.8735 0.0000
-0.0009 0.0000 38.0314
Bi Pd
2 38
Direct
0.1251 0.2500 0.3540
0.8749 0.7500 0.6460
0.1241 0.2500 0.7605
0.1248 0.2500 0.0551
0.1251 0.2500 0.1285
0.1252 0.2500 0.2024
0.1250 0.2500 0.2768
0.1246 0.2500 0.8344
0.1253 0.2500 0.9081
0.1252 0.2500 0.9817
0.1260 0.2500 0.6850
0.3742 0.7500 0.2395
0.3750 0.7500 0.0183
0.3751 0.7500 0.0918
0.3751 0.7500 0.1655
0.3748 0.7500 0.6487
0.3750 0.7500 0.7235
0.3748 0.7500 0.7975
0.3749 0.7500 0.8712
0.3751 0.7500 0.9448
0.3760 0.7500 0.3150
0.6240 0.2500 0.6850
0.6249 0.2500 0.0552
0.6251 0.2500 0.1288
0.6252 0.2500 0.2025
0.6250 0.2500 0.2765
0.6252 0.2500 0.3513
0.6249 0.2500 0.8345
0.6249 0.2500 0.9082
0.6250 0.2500 0.9817
0.6258 0.2500 0.7605
0.8740 0.7500 0.3150
0.8748 0.7500 0.0183
0.8747 0.7500 0.0919
0.8754 0.7500 0.1656
0.8750 0.7500 0.7232
0.8748 0.7500 0.7976
0.8749 0.7500 0.8715
0.8752 0.7500 0.9449
0.8759 0.7500 0.2395

---

(2)
InCuTcMo, relaxed, DFT PBE; mass density = 9.84 Mg/m³; energy above the lowest structure with this stoichiometry = 0.000 kcal/mol of atoms
1.0
0.0000 3.1556 3.1556
3.1556 0.0000 3.1556
3.1556 3.1556 0.0000
In Cu Tc Mo
1 1 1 1
Direct
0.0000 0.0000 0.0000
0.2500 0.2500 0.2500
0.7500 0.7500 0.7500
0.5000 0.5000 0.5000

---

(3)
Sm2Ni, relaxed, DFT PBE; mass density = 8.20 Mg/m³; DFT formation energy = -0.4 eV per formula unit
1.0
8.0365 0.0000 0.0000
-4.0182 6.9598 0.0000
0.0000 0.0000 3.9045
Sm Ni
6 3
Direct
0.0000 0.2477 0.0000
0.0000 0.5831 0.5000
0.2477 0.0000 0.0000
0.4169 0.4169 0.5000
0.5831 0.0000 0.5000
0.7523 0.7523 0.0000
0.0000 0.0000 0.5000
0.3333 0.6667 0.0000
0.6667 0.3333 0.0000

---

(4)
Gd3ScO6, relaxed, DFT PBE; uncorrected energy = -84.8 eV/f.u.; mass density = 7.37 Mg/m³
1.0
4.4912 -5.5182 0.0000
4.4912 5.5182 0.0000
0.0000 0.0000 5.5665
Gd Sc O
6 2 12
Direct
0.1028 0.8972 0.5000
0.1909 0.4140 0.5541
0.4140 0.1909 0.0541
0.5860 0.8091 0.5541
0.8091 0.5860 0.0541
0.8972 0.1028 0.0000
0.3364 0.6636 0.0688
0.6636 0.3364 0.5688
0.0919 0.5962 0.2469
0.1456 0.1751 0.2754
0.1751 0.1456 0.7754
0.2766 0.7234 0.7260
0.4038 0.9081 0.2469
0.4834 0.5166 0.3180
0.5166 0.4834 0.8180
0.5962 0.0919 0.7469
0.7234 0.2766 0.2260
0.8249 0.8544 0.2754
0.8544 0.8249 0.7754
0.9081 0.4038 0.7469

---

(5)
PbW, relaxed, DFT PBE; mass density = 10.09 Mg/m³; energy above the lowest structure with this stoichiometry = 28.393 kcal/mol of atoms
1.0
0.0000 3.1805 3.1805
3.1805 0.0000 3.1805
3.1805 3.1805 0.0000
Pb W
1 1
Direct
0.0000 0.0000 0.0000
0.7500 0.7500 0.7500

---

(6)
LiDyMg, relaxed, DFT PBE; mass density = 4.04 Mg/m³; energy above the lowest structure with this stoichiometry = 0.000 kcal/mol of atoms
1.0
0.0000 3.4156 3.4156
3.4156 0.0000 3.4156
3.4156 3.4156 0.0000
Li Dy Mg
1 1 1
Direct
0.0000 0.0000 0.0000
0.7500 0.7500 0.7500
0.2500 0.2500 0.2500

---

(7)
HfMgCd, relaxed, DFT PBE; uncorrected energy = -11.3 eV/f.u.; mass density = 7.32 Mg/m³
1.0
0.0000 3.2946 3.2946
3.2946 0.0000 3.2946
3.2946 3.2946 0.0000
Hf Mg Cd
1 1 1
Direct
0.0000 0.0000 0.0000
0.5000 0.5000 0.5000
0.2500 0.2500 0.2500

---

(8)
Gd2GaSn, relaxed, DFT PBE; uncorrected energy = -19.2 eV/f.u.; mass density = 7.89 Mg/m³
1.0
4.1777 0.0000 0.0000
0.0000 2.2511 5.6304
0.0000 -2.2511 5.6304
Gd Ga Sn
2 1 1
Direct
0.0000 0.0000 0.0000
0.5000 0.2799 0.2799
0.5000 0.5502 0.5502
0.0000 0.7154 0.7154

---

(9)
NbFeAsAu, relaxed, DFT PBE; mass density = 10.93 Mg/m³; energy above the lowest structure with this stoichiometry = 0.000 kcal/mol of atoms
1.0
0.0000 3.1729 3.1729
3.1729 0.0000 3.1729
3.1729 3.1729 0.0000
Nb Fe As Au
1 1 1 1
Direct
0.0000 0.0000 0.0000
0.5000 0.5000 0.5000
0.2500 0.2500 0.2500
0.7500 0.7500 0.7500

---

(10)
KGdEr, relaxed, DFT PBE; mass density = 4.21 Mg/m³; energy above the lowest structure with this stoichiometry = 0.000 kcal/mol of atoms
1.0
0.0000 4.1530 4.1530
4.1530 0.0000 4.1530
4.1530 4.1530 0.0000
K Gd Er
1 1 1
Direct
0.0000 0.0000 0.0000
0.5000 0.5000 0.5000
0.7500 0.7500 0.7500

---

(11)
KPrHgSe3, relaxed, DFT PBE; uncorrected energy = -23.7 eV/f.u.; mass density = 5.29 Mg/m³
1.0
8.5795 0.0000 0.0000
0.0000 4.3737 0.0000
-3.0355 0.0000 10.3216
K Pr Hg Se
2 2 2 6
Direct
0.2452 0.2500 0.2219
0.7548 0.7500 0.7781
0.1899 0.7500 0.6338
0.8101 0.2500 0.3662
0.4084 0.2500 0.8854
0.5916 0.7500 0.1146
0.0428 0.7500 0.3540
0.2541 0.7500 0.9461
0.4389 0.2500 0.6483
0.5611 0.7500 0.3517
0.7459 0.2500 0.0539
0.9572 0.2500 0.6460

---

(12)
ThSi3Os, relaxed, DFT PBE; uncorrected energy = -38.3 eV/f.u.; mass density = 9.35 Mg/m³
1.0
-2.1258 2.1258 4.9791
2.1258 -2.1258 4.9791
2.1258 2.1258 -4.9791
Th Si Os
1 3 1
Direct
0.0000 0.0000 0.0000
0.2679 0.7679 0.5000
0.4216 0.4216 0.0000
0.7679 0.2679 0.5000
0.6588 0.6588 0.0000

---

(13)
AgIr3N5, relaxed, DFT PBE; uncorrected energy = -62.1 eV/f.u.; mass density = 11.89 Mg/m³
1.0
5.5300 0.0000 0.0000
-2.7650 4.7892 0.0000
0.0000 0.0000 3.9801
Ag Ir N
1 3 5
Direct
0.0000 0.0000 0.0000
0.0000 0.5000 0.5000
0.5000 0.0000 0.5000
0.5000 0.5000 0.5000
0.0000 0.0000 0.5000
0.3333 0.6667 0.1664
0.3333 0.6667 0.8336
0.6667 0.3333 0.1664
0.6667 0.3333 0.8336

---

(14)
LaDyBe, relaxed, DFT PBE; uncorrected energy = -10.6 eV/f.u.; mass density = 6.32 Mg/m³
1.0
0.0000 3.4416 3.4416
3.4416 0.0000 3.4416
3.4416 3.4416 0.0000
La Dy Be
1 1 1
Direct
0.0000 0.0000 0.0000
0.2500 0.2500 0.2500
0.7500 0.7500 0.7500

---

(15)
ScCoSiPd, relaxed, DFT PBE; mass density = 6.98 Mg/m³; energy above the lowest structure with this stoichiometry = 0.000 kcal/mol of atoms
1.0
0.0000 3.0491 3.0491
3.0491 0.0000 3.0491
3.0491 3.0491 0.0000
Sc Co Si Pd
1 1 1 1
Direct
0.0000 0.0000 0.0000
0.7500 0.7500 0.7500
0.5000 0.5000 0.5000
0.2500 0.2500 0.2500

---

(16)
CdIrOs, relaxed, DFT PBE; mass density = 14.68 Mg/m³; DFT formation energy = 2.2 eV per formula unit; energy above the lowest structure with this stoichiometry = 0.000 kcal/mol of atoms
1.0
0.0000 3.0364 3.0364
3.0364 0.0000 3.0364
3.0364 3.0364 0.0000
Cd Ir Os
1 1 1
Direct
0.0000 0.0000 0.0000
0.2500 0.2500 0.2500
0.5000 0.5000 0.5000

---

(17)
ZrInFeAu, relaxed, DFT PBE; mass density = 10.41 Mg/m³; energy above the lowest structure with this stoichiometry = 0.000 kcal/mol of atoms
1.0
0.0000 3.3197 3.3197
3.3197 0.0000 3.3197
3.3197 3.3197 0.0000
Zr In Fe Au
1 1 1 1
Direct
0.0000 0.0000 0.0000
0.5000 0.5000 0.5000
0.7500 0.7500 0.7500
0.2500 0.2500 0.2500

---

(18)
RbAs5Os3, relaxed, DFT PBE; uncorrected energy = -56.1 eV/f.u.; mass density = 8.28 Mg/m³
1.0
5.6056 0.0000 0.0000
-2.8028 4.8546 0.0000
0.0000 0.0000 7.6005
Rb As Os
1 5 3
Direct
0.0000 0.0000 0.0000
0.0000 0.0000 0.5000
0.3333 0.6667 0.2466
0.3333 0.6667 0.7534
0.6667 0.3333 0.2466
0.6667 0.3333 0.7534
0.0000 0.5000 0.5000
0.5000 0.0000 0.5000
0.5000 0.5000 0.5000

---

(19)
PuCoSi, relaxed, DFT PBE; uncorrected energy = -26.3 eV/f.u.; mass density = 9.43 Mg/m³
1.0
0.0000 3.0775 3.0775
3.0775 0.0000 3.0775
3.0775 3.0775 0.0000
Pu Co Si
1 1 1
Direct
0.0000 0.0000 0.0000
0.5000 0.5000 0.5000
0.7500 0.7500 0.7500

---

(20)
Co, relaxed, DFT PBE; mass density = 8.63 Mg/m³; DFT formation energy = 0.2 eV per formula unit; energy above the lowest structure with this stoichiometry = 4.622 kcal/mol of atoms
1.0
0.0000 3.2407 3.2407
3.2407 0.0000 3.2407
3.2407 3.2407 0.0000
Co
6
Direct
0.0000 0.0000 0.0000
0.0000 0.0000 0.5000
0.0000 0.5000 0.0000
0.3750 0.3750 0.3750
0.5000 0.0000 0.0000
0.6250 0.6250 0.6250